1.
A plane-wave DFT calculation with PBE was carried out for a relaxed Mg2IF crystal.

Properties
E_form (uncorrected) ... -693.1 meV/atom
Electronic total energy ... -2.346 eV/atom

abc: 7.1694 7.1694 7.1694
angles: 90.00 90.00 90.00
Space group Fm-3m (No. 225)
Unique sites:
1 Mg 0.2500 0.2500 0.2500 [8 per cell]
2 I 0.0000 0.0000 0.0000 [4 per cell]
3 F 0.0000 0.0000 0.5000 [4 per cell]

***

2.
A plane-wave DFT calculation with PBE was carried out for a relaxed Ac4Sn crystal.

Properties
Energy relative to the elements ... 0.121 eV per atom
Electronic total energy ... -3.966 eV/atom

abc: 6.3540 6.3540 6.3540
angles: 90.00 90.00 90.00
Space group Pm-3m (No. 221)
Unique sites:
1 Ac 0.0000 0.0000 0.0000 [1 per cell]
2 Ac 0.0000 0.5000 0.5000 [3 per cell]
3 Sn 0.5000 0.5000 0.5000 [1 per cell]

***

3.
A plane-wave DFT calculation with PBE was carried out for a relaxed OsAuSe2 crystal.

Properties
E_form (uncorrected) ... 303.3 meV/atom
Electronic total energy ... -5.066 eV/atom

abc: 2.9345 4.8074 11.4085
angles: 90.00 90.00 90.00
Space group Immm (No. 71)
Unique sites:
1 Os 0.0000 0.0000 0.0000 [2 per cell]
2 Au 0.0000 0.0000 0.5000 [2 per cell]
3 Se 0.0000 0.5000 0.3222 [4 per cell]

***

4.
A plane-wave DFT calculation with PBE was carried out for a relaxed AlAuIO2 crystal.

Properties
E_form (uncorrected) ... 471.6 meV/atom
Electronic total energy ... -3.226 eV/atom

abc: 4.1656 4.1656 5.7429
angles: 90.00 90.00 90.00
Space group P4/mmm (No. 123)
Unique sites:
1 Al 0.0000 0.0000 0.0000 [1 per cell]
2 Au 0.5000 0.5000 0.5000 [1 per cell]
3 I 0.5000 0.5000 0.0000 [1 per cell]
4 O 0.0000 0.5000 0.5000 [2 per cell]

***

5.
A plane-wave DFT calculation with PBE was carried out for a relaxed CaTh5Bi6 crystal.

Properties
Energy relative to the elements ... -0.625 eV per atom
Electronic total energy ... -5.824 eV/atom

abc: 7.9635 13.7746 7.9724
angles: 90.00 109.41 90.00
Space group C2/m (No. 12)
Unique sites:
1 Ca 0.0000 0.0000 0.0000 [2 per cell]
2 Th 0.0000 0.1660 0.5000 [4 per cell]
3 Th 0.0000 0.3337 0.0000 [4 per cell]
4 Th 0.0000 0.5000 0.5000 [2 per cell]
5 Bi 0.2478 0.0000 0.7527 [4 per cell]
6 Bi 0.2482 0.1655 0.2486 [8 per cell]

***

6.
A plane-wave DFT calculation with PBE was carried out for a relaxed LiRe4Tc crystal.

Properties
Energy relative to the elements ... 0.410 eV per atom
Electronic total energy ... -9.935 eV/atom

abc: 7.2663 7.2663 7.2663
angles: 90.00 90.00 90.00
Space group F-43m (No. 216)
Unique sites:
1 Li 0.0000 0.0000 0.0000 [4 per cell]
2 Re 0.1257 0.1257 0.6257 [16 per cell]
3 Tc 0.2500 0.2500 0.2500 [4 per cell]

***

Number 1: DOS at the Fermi energy 0.37 states/eV/atom. Number 2: DOS at the Fermi energy 2.16 states/eV/atom. Number 3: DOS at the Fermi energy 0.92 states/eV/atom. Number 4: DOS at the Fermi energy 1.70 states/eV/atom. Number 5: DOS at the Fermi energy 0.70 states/eV/atom. Number 6: DOS at the Fermi energy 0.93 states/eV/atom.